[1]
First-principles (PBE-GGA) data for an optimized crystal structure of AlFeCoSi, as listed in Alexandria.

The space group is Pmmm (No. 47) and the conventional cell measures 2.836, 3.915 and 3.951 Å, with angles of 90.00, 90.00 and 90.00 degrees. The distinct sites, in fractional coordinates, are Al at (0.000, 0.000, 0.000), Fe at (0.500, 0.000, 0.500), Co at (0.500, 0.500, 0.000) and Si at (0.000, 0.500, 0.500).

The value obtained for the uncorrected formation energy is -208 kJ/mol of formula units.

[2]
First-principles (PBE-GGA) data for an optimized crystal structure of Th2ScCo, as listed in Alexandria.

The space group is R-3m (No. 166, hexagonal axes) and the conventional cell measures 3.6608, 3.6608 and 29.3105 Å, with angles of 90.00, 90.00 and 120.00 degrees. The distinct sites, in fractional coordinates, are Th at (0.0000, 0.0000, 0.1098), Sc at (0.0000, 0.0000, 0.0000) and Co at (0.0000, 0.0000, 0.5000).

For the formation energy, the calculation gives 0.22 eV per atom. For the distance to the lowest polymorph of the same formula, the calculation gives 0.367 eV per atom.

[3]
First-principles (PBE-GGA) data for an optimized crystal structure of Na3IF6, as listed in Alexandria.

The space group is P2_1/c (No. 14) and the conventional cell measures 5.540, 5.772 and 11.639 Å, with angles of 90.00, 118.04 and 90.00 degrees. The distinct sites, in fractional coordinates, are Na at (0.000, 0.000, 0.000), Na at (0.245, 0.035, 0.758), I at (0.500, 0.000, 0.500), F at (0.017, 0.144, 0.178), F at (0.361, 0.689, 0.110) and F at (0.414, 0.207, 0.074).

The value obtained for the uncorrected formation energy is -2086 kJ/mol of formula units.

[4]
First-principles (PBE-GGA) data for an optimized crystal structure of AcHoSb2, as listed in Alexandria.

The space group is R-3m (No. 166, hexagonal axes) and the conventional cell measures 4.5891, 4.5891 and 22.4162 Å, with angles of 90.00, 90.00 and 120.00 degrees. The distinct sites, in fractional coordinates, are Ac at (0.0000, 0.0000, 0.0000), Ho at (0.0000, 0.0000, 0.5000) and Sb at (0.0000, 0.0000, 0.2418).

The value obtained for the uncorrected formation energy is -441 kJ/mol of formula units. For the distance to the lowest polymorph of the same formula, the calculation gives 0.000 eV per atom.